Density functional theory data (PBE) for crystalline Ac2PmTaO8 at its relaxed geometry.

Cell and atoms, written as CIF:
```
data_Ac2PmTaO8
_chemical_formula_sum 'Ac2 Pm1 Ta1 O8'
_cell_length_a 4.389
_cell_length_b 7.332
_cell_length_c 5.667
_cell_angle_alpha 90.00
_cell_angle_beta 92.69
_cell_angle_gamma 90.00
_symmetry_space_group_name_H-M 'P 1 2/m 1'
_symmetry_Int_Tables_number 10
loop_
_symmetry_equiv_pos_as_xyz
'x,y,z'
'-x,-y,-z'
'-x,y,-z'
'x,-y,z'
loop_
_atom_site_label
_atom_site_type_symbol
_atom_site_fract_x
_atom_site_fract_y
_atom_site_fract_z
Ac1 Ac 0.000 0.247 0.000
Pm1 Pm 0.500 0.500 0.500
Ta1 Ta 0.500 0.000 0.500
O1 O 0.033 0.500 0.256
O2 O 0.056 0.000 0.378
O3 O 0.468 0.204 0.735
```

Computed properties:
Uncorrected formation energy: -34.3 eV/f.u.
M_tot: 0.000 μB/f.u.